VASP calculation (GGA-PBE) on an optimized crystal structure of CaMnHI2.

Results
Electronic total energy: -3.871 eV/atom

Geometry as POSCAR:
```
CaMnHI2
1.0
-0.045 1.195 -5.658
-3.700 0.638 0.164
1.013 5.572 1.169
I H Ca Mn
2 1 1 1
Direct
0.000 0.000 0.500
0.500 0.000 0.000
0.000 0.500 0.000
0.500 0.500 0.500
0.000 0.000 0.000
```

VASP calculation (GGA-PBE) on an optimized crystal structure of Nd8Tm2Cd.

Results
Energy above the most stable polymorph in this dataset: 96 meV per atom

Geometry as POSCAR:
```
Nd8Tm2Cd
1.0
5.786 -0.397 -0.277
0.511 9.727 2.563
0.511 5.754 8.251
Nd Tm Cd
8 2 1
Direct
0.252 0.135 0.606
0.252 0.606 0.135
0.748 0.865 0.394
0.234 0.547 0.547
0.748 0.394 0.865
0.235 0.176 0.176
0.765 0.824 0.824
0.766 0.453 0.453
0.742 0.283 0.283
0.258 0.717 0.717
0.000 0.000 0.000
```

VASP calculation (GGA-PBE) on an optimized crystal structure of LaPmY4.

Results
Energy above the most stable polymorph in this dataset: 118 meV per atom

Geometry as POSCAR:
```
LaPmY4
1.0
6.493 -0.708 0.000
-2.632 8.874 0.000
-1.931 -4.083 7.414
La Pm Y
2 2 8
Direct
0.334 0.584 0.168
0.666 0.416 0.832
0.249 0.999 0.997
0.751 0.001 0.003
0.042 0.163 0.736
0.747 0.713 0.611
0.194 0.574 0.736
0.364 0.897 0.611
0.636 0.103 0.389
0.806 0.426 0.264
0.253 0.287 0.389
0.958 0.837 0.264
```